{"formula": "InCuBi", "functional": "PBE", "state": "relaxed", "lattice_angstrom": [[-2.147, 1.140, 2.237], [-2.510, -1.067, -1.865], [2.482, -5.688, 2.841]], "species": ["Cu", "Bi", "In"], "frac_coords": [[0.671, 0.671, 0.343], [0.025, 0.025, 0.051], [0.303, 0.303, 0.606]], "relative_energy_ev_per_fu": 0.21, "magnetic_moment_mub_per_atom": 0.0000, "vol_a3_per_atom": 23.33, "n_ef_per_ev_atom": 0.45, "formation_enthalpy_0k_mev_per_atom": 161, "crystal_system": "tetragonal"}



{"formula": "InCu4Bi", "functional": "PBE", "state": "relaxed", "lattice_angstrom": [[-1.178, -3.489, 3.672], [-2.489, -4.383, -1.281], [2.506, -4.555, 0.159]], "species": ["Cu", "Cu", "Cu", "Cu", "In", "Bi"], "frac_coords": [[0.625, 0.124, 0.625], [0.124, 0.625, 0.625], [0.625, 0.625, 0.625], [0.625, 0.625, 0.124], [0.000, 0.000, 0.000], [0.250, 0.250, 0.250]], "magnetic_moment_mub_per_atom": 0.0000, "vol_a3_per_atom": 16.58, "n_ef_per_ev_atom": 0.29, "formation_enthalpy_0k_mev_per_atom": 105, "crystal_system": "cubic"}



{"formula": "In2Cu2Bi", "functional": "PBE", "state": "relaxed", "lattice_angstrom": [[-6.784, 3.519, -0.054], [-3.481, -6.726, -1.030], [-0.249, -0.424, 3.612]], "species": ["Cu", "Cu", "Cu", "Cu", "Bi", "Bi", "In", "In", "In", "In"], "frac_coords": [[0.382, 0.882, 0.000], [0.882, 0.618, 0.000], [0.118, 0.382, 0.000], [0.618, 0.118, 0.000], [0.500, 0.500, 0.000], [0.000, 0.000, 0.000], [0.331, 0.169, 0.500], [0.831, 0.331, 0.500], [0.669, 0.831, 0.500], [0.169, 0.669, 0.500]], "relative_energy_ev_per_fu": 0.00, "magnetic_moment_mub_per_atom": 0.0000, "vol_a3_per_atom": 21.29, "n_ef_per_ev_atom": 0.38, "formation_enthalpy_0k_mev_per_atom": 144, "crystal_system": "tetragonal"}



{"formula": "In2Cu2Bi", "functional": "PBE", "state": "relaxed", "lattice_angstrom": [[8.200, 0.000, 0.000], [0.000, 8.200, 0.000], [0.000, 0.000, 3.158]], "species": ["In", "In", "In", "In", "Cu", "Cu", "Cu", "Cu", "Bi", "Bi"], "frac_coords": [[0.639, 0.139, 0.000], [0.361, 0.861, 0.000], [0.139, 0.361, 0.000], [0.861, 0.639, 0.000], [0.155, 0.655, 0.500], [0.345, 0.155, 0.500], [0.655, 0.845, 0.500], [0.845, 0.345, 0.500], [0.000, 0.000, 0.000], [0.500, 0.500, 0.000]], "relative_energy_ev_per_fu": 0.52, "magnetic_moment_mub_per_atom": 0.0000, "vol_a3_per_atom": 21.24, "n_ef_per_ev_atom": 0.48, "formation_enthalpy_0k_mev_per_atom": 247, "crystal_system": "tetragonal"}



{"formula": "In2Cu2Bi", "functional": "PBE", "state": "relaxed", "lattice_angstrom": [[-2.500, 3.247, 0.881], [-3.345, -2.515, -0.224], [-2.406, -0.850, 6.269]], "species": ["Bi", "In", "In", "Cu", "Cu"], "frac_coords": [[0.000, 0.000, 0.000], [0.250, 0.750, 0.500], [0.750, 0.250, 0.500], [0.599, 0.599, 0.802], [0.401, 0.401, 0.198]], "relative_energy_ev_per_fu": 0.15, "magnetic_moment_mub_per_atom": 0.0000, "vol_a3_per_atom": 21.38, "n_ef_per_ev_atom": 0.39, "formation_enthalpy_0k_mev_per_atom": 173, "crystal_system": "tetragonal"}



{"formula": "InCuBi", "functional": "PBE", "state": "relaxed", "lattice_angstrom": [[4.702, 0.000, 0.000], [2.351, 4.072, 0.000], [2.351, 1.357, 3.839]], "species": ["Cu", "Bi", "In"], "frac_coords": [[0.250, 0.250, 0.250], [0.000, 0.000, 0.000], [0.500, 0.500, 0.500]], "relative_energy_ev_per_fu": 0.00, "magnetic_moment_mub_per_atom": 0.0000, "vol_a3_per_atom": 24.50, "n_ef_per_ev_atom": 0.71, "formation_enthalpy_0k_mev_per_atom": 90, "crystal_system": "cubic"}